# 1
VASP calculation (GGA-PBE) on a relaxed structure of Ba2ThGaSe5.

Summary:
Total magnetization (Bohr magnetons per cell): 0.000
D(E_F) (states/eV/f.u.): 0.82
V (Å³/atom): 31.33
Uncorrected formation energy (meV per atom): -1592

Structure (POSCAR):
```
Ba2ThGaSe5
1.0
-3.398 -2.678 1.399
7.542 -5.977 -0.510
3.026 2.742 12.599
Se Ba Ga Th
10 4 2 2
Cartesian
4.151 -5.136 0.253
0.586 -0.565 0.340
8.177 -5.188 9.933
-0.866 -0.596 4.144
5.227 -6.577 7.495
5.468 -2.515 8.467
1.563 -2.095 7.174
1.177 -3.874 2.832
4.753 -3.522 4.803
3.155 -1.722 11.756
3.376 -6.455 3.234
5.216 -4.598 11.257
3.428 0.211 8.732
2.417 -0.894 4.161
6.606 -5.367 5.773
1.742 0.523 12.620
3.361 -4.282 7.355
2.413 -2.895 0.320
```

# 2
VASP calculation (GGA-PBE) on a relaxed structure of Ba2TlGaSe5.

Summary:
Total magnetization (Bohr magnetons per cell): 0.000
V (Å³/atom): 30.60
Uncorrected formation energy (meV per atom): -1132

Structure (POSCAR):
```
Ba2TlGaSe5
1.0
4.197 0.000 0.000
-2.099 10.208 0.000
0.000 0.000 12.854
Ba Se Ga Tl
4 10 2 2
Cartesian
2.099 7.866 2.341
0.000 2.367 3.807
2.099 7.841 10.233
0.000 2.343 8.768
0.000 5.742 8.667
2.099 4.466 2.241
0.000 10.083 3.588
0.000 0.792 0.623
0.000 6.596 4.942
0.000 7.292 12.722
2.099 9.417 7.049
2.099 0.125 10.014
2.099 3.613 11.368
2.099 2.916 6.295
2.099 1.252 12.151
0.000 8.956 5.725
2.099 5.573 6.738
0.000 4.635 0.311
```

# 3
VASP calculation (GGA-PBE) on a relaxed structure of Ba2TmGaSe5.

Summary:
Total magnetization (Bohr magnetons per cell): 0.000
V (Å³/atom): 30.09
Uncorrected formation energy (meV per atom): -1642

Structure (POSCAR):
```
Ba2TmGaSe5
1.0
4.209 0.000 0.000
-2.104 9.589 0.000
0.000 0.000 13.420
Se Ga Tm Ba
10 2 2 4
Cartesian
0.000 5.684 8.920
2.104 8.648 7.173
2.104 2.917 6.803
2.104 3.571 11.770
0.000 0.941 0.464
0.000 6.672 0.093
0.000 6.019 5.060
2.104 3.905 2.210
2.104 0.014 10.399
0.000 9.575 3.689
0.000 8.415 5.770
2.104 1.175 12.479
0.000 3.947 0.347
2.104 5.643 7.057
2.104 7.150 11.055
0.000 2.440 4.346
2.104 7.248 2.499
0.000 2.341 9.208
```

# 4
VASP calculation (GGA-PBE) on a relaxed structure of Ba2UGaSe5.

Summary:
Total magnetization (Bohr magnetons per cell): 5.265
D(E_F) (states/eV/f.u.): 6.10
V (Å³/atom): 30.70
Uncorrected formation energy (meV per atom): -1409

Structure (POSCAR):
```
Ba2UGaSe5
1.0
4.364 0.000 0.000
-2.182 9.494 0.000
0.000 0.000 13.335
Se U Ga Ba
10 2 2 4
Cartesian
0.000 9.479 3.661
2.182 3.849 2.194
0.000 0.844 0.419
0.000 5.645 8.862
2.182 3.553 11.639
2.182 0.016 10.328
2.182 2.861 6.777
0.000 5.941 4.972
2.182 8.650 7.087
0.000 6.634 0.109
0.000 3.818 0.290
2.182 5.677 6.957
2.182 1.078 12.498
0.000 8.417 5.830
2.182 7.236 2.499
0.000 2.360 4.349
0.000 2.258 9.167
2.182 7.134 11.016
```

Repeat the second record exactly.
VASP calculation (GGA-PBE) on a relaxed structure of Ba2TlGaSe5.

Summary:
Total magnetization (Bohr magnetons per cell): 0.000
V (Å³/atom): 30.60
Uncorrected formation energy (meV per atom): -1132

Structure (POSCAR):
```
Ba2TlGaSe5
1.0
4.197 0.000 0.000
-2.099 10.208 0.000
0.000 0.000 12.854
Ba Se Ga Tl
4 10 2 2
Cartesian
2.099 7.866 2.341
0.000 2.367 3.807
2.099 7.841 10.233
0.000 2.343 8.768
0.000 5.742 8.667
2.099 4.466 2.241
0.000 10.083 3.588
0.000 0.792 0.623
0.000 6.596 4.942
0.000 7.292 12.722
2.099 9.417 7.049
2.099 0.125 10.014
2.099 3.613 11.368
2.099 2.916 6.295
2.099 1.252 12.151
0.000 8.956 5.725
2.099 5.573 6.738
0.000 4.635 0.311
```